Cs3NaV2O8: optimized geometry, PBE+U.

Properties
uncorrected energy	-5.878	eV/atom
symmetry	P-3m1
total magnetization	0.14	μB per atom

Cell and atoms, written as extended XYZ:
```
14
Lattice="6.382 0.000 0.000 -3.191 5.527 0.000 0.000 0.000 8.340" Properties=species:S:1:pos:R:3 pbc="T T T"
Cs 0.000 0.000 0.000
Cs 0.000 3.685 5.689
Cs 3.191 1.842 2.651
Na 0.000 0.000 4.170
V 0.000 3.685 2.077
V 3.191 1.842 6.263
O 0.000 2.037 2.657
O -1.426 4.508 2.657
O 0.000 3.685 0.340
O 1.764 1.019 5.683
O 1.426 4.508 2.657
O 3.191 1.842 8.000
O 4.617 1.019 5.683
O 3.191 3.489 5.683
```